The following is a DFT calculation (PBE) of a relaxed KLa2NO crystal. Values from VASP.

space-group type	P4/mmm, No. 123
formation energy without anion corrections	99.8	kJ/mol of atoms
final energy	-19.1	eV/cell

```
&SYSTEM
  ibrav = 0, nat = 5, ntyp = 4
/
ATOMIC_SPECIES
O 16.00 O.upf
La 138.91 La.upf
K 39.10 K.upf
N 14.01 N.upf
CELL_PARAMETERS angstrom
5.300 0.000 0.000
0.000 4.128 0.000
0.000 0.000 5.300
ATOMIC_POSITIONS crystal
O 0.500 0.500 0.500
La 0.500 0.000 0.000
La 0.000 0.000 0.500
K 0.000 0.000 0.000
N 0.000 0.500 0.000
```